Material: La4Pr3TmTe8
Method: DFT, PBE-GGA
State: optimized geometry

formation energy without anion corrections = -1.48 eV per atom
crystal system = trigonal

Unit cell a=9.0863 b=9.0336 c=9.0836 alpha=120.16 beta=120.01 gamma=90.00
Fractional coordinates of all 16 atoms:
Tm  0.0000  0.5000  0.0000
Te  0.7565  0.7406  0.9986
Te  0.2420  0.7406  0.9986
Te  0.7493  0.7480  0.4987
Te  0.2507  0.2520  0.5013
Te  0.2420  0.7406  0.4840
Te  0.2435  0.2594  0.0014
Te  0.7580  0.2594  0.5160
Te  0.7580  0.2594  0.0014
La  0.5000  0.0000  0.0000
La  0.0000  0.0000  0.0000
La  0.0000  0.0000  0.5000
La  0.5000  0.0000  0.5000
Pr  0.5000  0.5000  0.5000
Pr  0.5000  0.5000  0.0000
Pr  0.0000  0.5000  0.5000

***

Material: La4PrTm3Te8
Method: DFT, PBE-GGA
State: optimized geometry

formation energy without anion corrections = -1.42 eV per atom
crystal system = trigonal

Unit cell a=8.8862 b=9.0026 c=8.8862 alpha=119.57 beta=120.00 gamma=90.00
Fractional coordinates of all 16 atoms:
Te  0.7507  0.2660  0.0153
Te  0.2646  0.2660  0.0153
Te  0.7507  0.2659  0.5014
Te  0.7354  0.7340  0.9847
Te  0.2493  0.7340  0.9847
Te  0.2574  0.2723  0.5148
Te  0.2493  0.7341  0.4986
Te  0.7426  0.7277  0.4852
Tm  0.0000  0.5000  0.5000
Tm  0.5000  0.5000  0.0000
Tm  0.5000  0.5000  0.5000
Pr  0.0000  0.5000  0.0000
La  0.0000  0.0000  0.0000
La  0.5000  0.0000  0.0000
La  0.5000  0.0000  0.5000
La  0.0000  0.0000  0.5000

***

Material: La3PrTm2Te6
Method: DFT, PBE-GGA
State: optimized geometry

formation energy without anion corrections = -1.43 eV per atom
crystal system = monoclinic

Unit cell a=4.4430 b=9.0435 c=10.0296 alpha=103.35 beta=102.80 gamma=90.00
Fractional coordinates of all 12 atoms:
La  0.1609  0.8324  0.3218
La  0.5000  0.5000  0.0000
La  0.8391  0.1676  0.6782
Pr  0.5000  0.0000  0.0000
Te  0.9926  0.7475  0.9852
Te  0.3308  0.9005  0.6616
Te  0.3278  0.4284  0.6555
Te  0.6722  0.5716  0.3445
Te  0.6692  0.0995  0.3384
Te  0.0074  0.2525  0.0148
Tm  0.8346  0.6690  0.6693
Tm  0.1654  0.3310  0.3307

***

Material: La3Pr4TmTe8
Method: DFT, PBE-GGA
State: optimized geometry

formation energy without anion corrections = -1.46 eV per atom
crystal system = monoclinic

Unit cell a=9.0623 b=9.0402 c=9.0522 alpha=119.97 beta=120.04 gamma=90.00
Fractional coordinates of all 16 atoms:
Pr  0.5000  0.0000  0.5000
Pr  0.5000  0.0000  0.0000
Pr  0.0000  0.0000  0.0000
Pr  0.0000  0.0000  0.5000
La  0.5000  0.5000  0.0000
La  0.5000  0.5000  0.5000
La  0.0000  0.5000  0.5000
Te  0.7573  0.2559  0.9986
Te  0.7507  0.7521  0.5015
Te  0.2413  0.2559  0.9986
Te  0.2427  0.7441  0.4854
Te  0.7587  0.7441  0.0014
Te  0.7573  0.2559  0.5146
Te  0.2493  0.2479  0.4985
Te  0.2427  0.7441  0.0014
Tm  0.0000  0.5000  0.0000

***

Material: La2Pr3TmTe6
Method: DFT, PBE-GGA
State: optimized geometry

formation energy without anion corrections = -1.45 eV per atom
crystal system = monoclinic

Unit cell a=4.4800 b=9.0935 c=10.0839 alpha=102.88 beta=102.83 gamma=90.00
Fractional coordinates of all 12 atoms:
Te  0.3345  0.4149  0.6691
Te  0.0028  0.7651  0.0056
Te  0.3411  0.9219  0.6821
Te  0.9972  0.2349  0.9944
Te  0.6589  0.0781  0.3179
Te  0.6655  0.5851  0.3309
La  0.1675  0.3353  0.3351
La  0.8325  0.6647  0.6649
Pr  0.8275  0.1641  0.6550
Pr  0.1725  0.8359  0.3450
Pr  0.5000  0.5000  0.0000
Tm  0.5000  0.0000  0.0000

***

Material: La3Pr2YTe6
Method: DFT, PBE-GGA
State: optimized geometry

formation energy without anion corrections = -1.50 eV per atom
crystal system = monoclinic

Unit cell a=4.5180 b=9.0868 c=10.1016 alpha=102.51 beta=102.92 gamma=90.00
Fractional coordinates of all 12 atoms:
Pr  0.8320  0.6650  0.6641
Pr  0.1680  0.3350  0.3359
La  0.5000  0.5000  0.0000
La  0.8297  0.1661  0.6593
La  0.1703  0.8339  0.3407
Te  0.9993  0.2387  0.9986
Te  0.3389  0.9182  0.6779
Te  0.0007  0.7613  0.0014
Te  0.6664  0.5819  0.3328
Te  0.3336  0.4181  0.6672
Te  0.6611  0.0818  0.3221
Y  0.5000  0.0000  0.0000

***

Material: LaPr3Y3Te8
Method: DFT, PBE-GGA
State: optimized geometry

formation energy without anion corrections = -1.45 eV per atom
crystal system = trigonal

Unit cell a=8.8685 b=8.8684 c=8.8950 alpha=119.90 beta=90.00 gamma=120.00
Fractional coordinates of all 15 atoms:
Y  0.5000  0.5000  0.5000
Y  0.5000  0.0000  0.5000
Y  0.0000  0.5000  0.5000
Te  0.7400  0.4800  0.2488
Te  0.7312  0.9912  0.7512
Te  0.7400  0.0088  0.2488
Te  0.2543  0.5086  0.2630
Te  0.7457  0.4914  0.7370
Te  0.2600  0.9912  0.7512
Te  0.2688  0.0088  0.2488
Te  0.2600  0.5200  0.7512
La  0.0000  0.0000  0.5000
Pr  0.0000  0.5000  0.0000
Pr  0.5000  0.5000  0.0000
Pr  0.0000  0.0000  0.0000

***

Material: La4Pr3YTe8
Method: DFT, PBE-GGA
State: optimized geometry

formation energy without anion corrections = -1.50 eV per atom
crystal system = trigonal

Unit cell a=9.0987 b=9.0521 c=9.0942 alpha=120.12 beta=120.02 gamma=90.00
Fractional coordinates of all 16 atoms:
La  0.5000  0.0000  0.5000
La  0.0000  0.0000  0.0000
La  0.5000  0.0000  0.0000
La  0.0000  0.0000  0.5000
Y  0.0000  0.5000  0.0000
Te  0.7542  0.7430  0.9986
Te  0.7557  0.2571  0.5113
Te  0.2458  0.2570  0.0014
Te  0.2444  0.7430  0.9986
Te  0.2507  0.2521  0.5013
Te  0.7493  0.7479  0.4987
Te  0.7556  0.2570  0.0014
Te  0.2443  0.7429  0.4887
Pr  0.5000  0.5000  0.0000
Pr  0.5000  0.5000  0.5000
Pr  0.0000  0.5000  0.5000

***

Material: La4PrY3Te8
Method: DFT, PBE-GGA
State: optimized geometry

formation energy without anion corrections = -1.47 eV per atom
crystal system = trigonal

Unit cell a=8.9850 b=8.9960 c=8.9858 alpha=119.97 beta=120.00 gamma=90.00
Fractional coordinates of all 16 atoms:
Y  0.0000  0.5000  0.5000
Y  0.5000  0.5000  0.0000
Y  0.5000  0.5000  0.5000
Te  0.2493  0.7383  0.4986
Te  0.2493  0.7383  0.9890
Te  0.7446  0.7338  0.4892
Te  0.7397  0.7383  0.9890
Te  0.7507  0.2617  0.5014
Te  0.2554  0.2662  0.5108
Te  0.2603  0.2617  0.0110
Te  0.7507  0.2617  0.0110
La  0.5000  0.0000  0.5000
La  0.5000  0.0000  0.0000
La  0.0000  0.0000  0.0000
La  0.0000  0.0000  0.5000
Pr  0.0000  0.5000  0.0000

***

Material: LaPr2Y3Te6
Method: DFT, PBE-GGA
State: optimized geometry

formation energy without anion corrections = -1.41 eV per atom
crystal system = monoclinic

Unit cell a=4.4165 b=9.0008 c=10.0089 alpha=104.22 beta=102.75 gamma=90.00
Fractional coordinates of all 12 atoms:
Y  0.8330  0.1666  0.6660
Y  0.5000  0.5000  0.0000
Y  0.1670  0.8334  0.3340
Te  0.0024  0.7406  0.0048
Te  0.6628  0.5919  0.3257
Te  0.6702  0.0767  0.3405
Te  0.3372  0.4081  0.6743
Te  0.9976  0.2594  0.9952
Te  0.3298  0.9233  0.6595
Pr  0.8314  0.6633  0.6629
Pr  0.1686  0.3367  0.3371
La  0.5000  0.0000  0.0000

***

Material: La2Pr4Th
Method: DFT, PBE-GGA
State: optimized geometry

relative energy among the computed polymorphs = 0.141 eV per atom
ΔH_f (0 K) = 0.40 eV/atom
crystal system = orthorhombic

Unit cell a=6.1161 b=6.2572 c=7.1966 alpha=115.77 beta=90.00 gamma=90.00
Fractional coordinates of all 7 atoms:
Pr  0.5000  0.3652  0.7304
Pr  0.5000  0.6348  0.2696
Pr  0.0000  0.8075  0.6150
Pr  0.0000  0.1925  0.3850
La  0.5000  0.1097  0.2193
La  0.5000  0.8903  0.7807
Th  0.0000  0.5000  0.0000

***

Material: La2PrTh2
Method: DFT, PBE-GGA
State: optimized geometry

relative energy among the computed polymorphs = 0.000 eV per atom
ΔH_f (0 K) = 0.02 eV/atom
crystal system = trigonal

Unit cell a=3.6361 b=3.6360 c=15.1884 alpha=83.13 beta=83.13 gamma=60.00
Fractional coordinates of all 5 atoms:
Pr  0.0000  0.0000  0.0000
Th  0.8018  0.8018  0.5946
Th  0.1982  0.1982  0.4054
La  0.5966  0.5966  0.2100
La  0.4034  0.4034  0.7900

***

| no. | uncorrected energy (eV/atom) | calculated density (g/cm3) |
| --- | --- | --- |
| 1 | -5.460 | 6.847 |
| 2 | -5.356 | 7.300 |
| 3 | -5.379 | 7.224 |
| 4 | -5.428 | 6.873 |
| 5 | -5.407 | 6.963 |
| 6 | -5.638 | 6.544 |
| 7 | -5.701 | 6.198 |
| 8 | -5.603 | 6.560 |
| 9 | -5.782 | 6.412 |
| 10 | -5.801 | 6.425 |
| 11 | -4.799 | 7.187 |
| 12 | -5.873 | 8.511 |